Record 1
# TaZn2W, single point on PBEsol structure, DFT SCAN
data_TaZn2W
_cell_length_a 3.802
_cell_length_b 3.802
_cell_length_c 4.965
_cell_angle_alpha 112.51
_cell_angle_beta 112.51
_cell_angle_gamma 90.00
_symmetry_space_group_name_H-M 'P 1'
_symmetry_Int_Tables_number 1
loop_
_symmetry_equiv_pos_as_xyz
'x,y,z'
loop_
_atom_site_label
_atom_site_fract_x
_atom_site_fract_y
_atom_site_fract_z
Zn1 0.000 0.000 0.000
Ta1 0.500 0.500 0.000
Zn2 0.750 0.250 0.500
W1 0.250 0.750 0.500
# * crystal system: tetragonal
# * formation enthalpy at 0 K: 0.200 eV per atom

Record 2
# TcTe3W, single point on PBEsol structure, DFT SCAN
data_TcTe3W
_cell_length_a 5.227
_cell_length_b 5.227
_cell_length_c 5.227
_cell_angle_alpha 90.00
_cell_angle_beta 90.00
_cell_angle_gamma 90.00
_symmetry_space_group_name_H-M 'P 1'
_symmetry_Int_Tables_number 1
loop_
_symmetry_equiv_pos_as_xyz
'x,y,z'
loop_
_atom_site_label
_atom_site_fract_x
_atom_site_fract_y
_atom_site_fract_z
Te1 0.000 0.500 0.000
W1 0.000 0.000 0.000
Tc1 0.500 0.500 0.500
Te2 0.000 0.000 0.500
Te3 0.500 0.000 0.000
# * formation energy from raw total energies: 1.383 eV per atom
# * crystal system: cubic

Record 3
# Re2AuSe, single point on PBEsol structure, DFT SCAN
data_Re2AuSe
_cell_length_a 2.750
_cell_length_b 2.750
_cell_length_c 9.570
_cell_angle_alpha 90.00
_cell_angle_beta 90.00
_cell_angle_gamma 118.73
_symmetry_space_group_name_H-M 'P 1'
_symmetry_Int_Tables_number 1
loop_
_symmetry_equiv_pos_as_xyz
'x,y,z'
loop_
_atom_site_label
_atom_site_fract_x
_atom_site_fract_y
_atom_site_fract_z
Au1 0.500 0.500 0.000
Re1 0.000 0.000 0.745
Re2 0.000 0.000 0.255
Se1 0.500 0.500 0.500
# * formation energy from raw total energies: 0.998 eV per atom
# * crystal system: orthorhombic

Record 4
# YTaCu2, single point on PBEsol structure, DFT SCAN
data_YTaCu2
_cell_length_a 3.112
_cell_length_b 4.121
_cell_length_c 5.507
_cell_angle_alpha 90.00
_cell_angle_beta 106.52
_cell_angle_gamma 90.00
_symmetry_space_group_name_H-M 'P 1'
_symmetry_Int_Tables_number 1
loop_
_symmetry_equiv_pos_as_xyz
'x,y,z'
loop_
_atom_site_label
_atom_site_fract_x
_atom_site_fract_y
_atom_site_fract_z
Y1 0.216 0.500 0.809
Cu1 0.812 0.000 0.000
Cu2 0.950 0.500 0.273
Ta1 0.521 0.000 0.418
# * crystal system: monoclinic
# * formation enthalpy at 0 K: 0.112 eV per atom

Record 5
# CaSbTe4, single point on PBEsol structure, DFT SCAN
data_CaSbTe4
_cell_length_a 6.296
_cell_length_b 6.296
_cell_length_c 6.296
_cell_angle_alpha 60.00
_cell_angle_beta 60.00
_cell_angle_gamma 60.00
_symmetry_space_group_name_H-M 'P 1'
_symmetry_Int_Tables_number 1
loop_
_symmetry_equiv_pos_as_xyz
'x,y,z'
loop_
_atom_site_label
_atom_site_fract_x
_atom_site_fract_y
_atom_site_fract_z
Sb1 0.000 0.000 0.000
Te1 0.877 0.374 0.374
Ca1 0.750 0.750 0.750
Te2 0.374 0.374 0.374
Te3 0.374 0.877 0.374
Te4 0.374 0.374 0.877
# * formation energy from raw total energies: 0.053 eV per atom
# * crystal system: cubic

Record 6
# Tl4Te3Pb, single point on PBEsol structure, DFT SCAN
data_Tl4Te3Pb
_cell_length_a 8.735
_cell_length_b 8.955
_cell_length_c 8.735
_cell_angle_alpha 60.81
_cell_angle_beta 90.00
_cell_angle_gamma 119.19
_symmetry_space_group_name_H-M 'P 1'
_symmetry_Int_Tables_number 1
loop_
_symmetry_equiv_pos_as_xyz
'x,y,z'
loop_
_atom_site_label
_atom_site_fract_x
_atom_site_fract_y
_atom_site_fract_z
Te1 0.338 0.000 0.838
Tl1 0.193 0.679 0.307
Te2 0.162 0.000 0.338
Te3 0.662 0.000 0.162
Tl2 0.693 0.679 0.515
Tl3 0.985 0.679 0.807
Te4 0.250 0.500 0.750
Te5 0.838 0.000 0.662
Pb1 0.000 0.000 0.000
Tl4 0.307 0.321 0.485
Tl5 0.807 0.321 0.693
Tl6 0.015 0.321 0.193
Tl7 0.485 0.679 0.015
Te6 0.750 0.500 0.250
Pb2 0.500 0.000 0.500
Tl8 0.515 0.321 0.985
# * formation energy from raw total energies: -0.320 eV per atom
# * crystal system: tetragonal

Record 7
# KGaSe2N, single point on PBEsol structure, DFT SCAN
data_KGaSe2N
_cell_length_a 4.936
_cell_length_b 5.809
_cell_length_c 5.809
_cell_angle_alpha 90.00
_cell_angle_beta 90.00
_cell_angle_gamma 90.00
_symmetry_space_group_name_H-M 'P 1'
_symmetry_Int_Tables_number 1
loop_
_symmetry_equiv_pos_as_xyz
'x,y,z'
loop_
_atom_site_label
_atom_site_fract_x
_atom_site_fract_y
_atom_site_fract_z
Ga1 0.500 0.500 0.500
N1 0.500 0.000 0.000
Se1 0.000 0.500 0.000
Se2 0.000 0.000 0.500
K1 0.000 0.000 0.000
# * formation energy from raw total energies: 1.223 eV per atom
# * crystal system: tetragonal

Record 8
# MgNb2Br, single point on PBEsol structure, DFT SCAN
data_MgNb2Br
_cell_length_a 4.675
_cell_length_b 4.675
_cell_length_c 4.675
_cell_angle_alpha 60.00
_cell_angle_beta 60.00
_cell_angle_gamma 60.00
_symmetry_space_group_name_H-M 'P 1'
_symmetry_Int_Tables_number 1
loop_
_symmetry_equiv_pos_as_xyz
'x,y,z'
loop_
_atom_site_label
_atom_site_fract_x
_atom_site_fract_y
_atom_site_fract_z
Nb1 0.250 0.250 0.250
Mg1 0.000 0.000 0.000
Br1 0.500 0.500 0.500
Nb2 0.750 0.750 0.750
# * formation energy from raw total energies: 0.883 eV per atom
# * crystal system: cubic

Record 9
# MnRhSN2, single point on PBEsol structure, DFT SCAN
data_MnRhSN2
_cell_length_a 3.708
_cell_length_b 3.708
_cell_length_c 5.143
_cell_angle_alpha 90.00
_cell_angle_beta 90.00
_cell_angle_gamma 90.00
_symmetry_space_group_name_H-M 'P 1'
_symmetry_Int_Tables_number 1
loop_
_symmetry_equiv_pos_as_xyz
'x,y,z'
loop_
_atom_site_label
_atom_site_fract_x
_atom_site_fract_y
_atom_site_fract_z
Rh1 0.000 0.000 0.000
N1 0.500 0.000 0.000
N2 0.000 0.500 0.000
Mn1 0.500 0.500 0.500
S1 0.000 0.000 0.500
# * formation energy from raw total energies: 0.653 eV per atom
# * crystal system: tetragonal

Record 10
# YCu2, single point on PBEsol structure, DFT SCAN
data_YCu2
_cell_length_a 3.420
_cell_length_b 3.420
_cell_length_c 4.762
_cell_angle_alpha 90.00
_cell_angle_beta 90.00
_cell_angle_gamma 90.00
_symmetry_space_group_name_H-M 'P 1'
_symmetry_Int_Tables_number 1
loop_
_symmetry_equiv_pos_as_xyz
'x,y,z'
loop_
_atom_site_label
_atom_site_fract_x
_atom_site_fract_y
_atom_site_fract_z
Cu1 0.000 0.500 0.500
Y1 0.000 0.000 0.000
Cu2 0.500 0.000 0.500
# * crystal system: tetragonal
# * formation enthalpy at 0 K: 0.131 eV per atom

Record 11
# Mn3GaC, single point on PBEsol structure, DFT SCAN
data_Mn3GaC
_cell_length_a 3.763
_cell_length_b 3.763
_cell_length_c 3.763
_cell_angle_alpha 89.99
_cell_angle_beta 89.99
_cell_angle_gamma 89.99
_symmetry_space_group_name_H-M 'P 1'
_symmetry_Int_Tables_number 1
loop_
_symmetry_equiv_pos_as_xyz
'x,y,z'
loop_
_atom_site_label
_atom_site_fract_x
_atom_site_fract_y
_atom_site_fract_z
Mn1 0.500 0.500 0.000
Ga1 0.000 0.000 0.000
Mn2 0.500 0.000 0.500
C1 0.500 0.500 0.500
Mn3 0.000 0.500 0.500
# * crystal system: cubic
# * formation enthalpy at 0 K: -0.149 eV per atom

Record 12
# MgAgO3, single point on PBEsol structure, DFT SCAN
data_MgAgO3
_cell_length_a 3.890
_cell_length_b 3.890
_cell_length_c 3.890
_cell_angle_alpha 90.00
_cell_angle_beta 90.00
_cell_angle_gamma 90.00
_symmetry_space_group_name_H-M 'P 1'
_symmetry_Int_Tables_number 1
loop_
_symmetry_equiv_pos_as_xyz
'x,y,z'
loop_
_atom_site_label
_atom_site_fract_x
_atom_site_fract_y
_atom_site_fract_z
Ag1 0.500 0.500 0.500
O1 0.000 0.000 0.500
O2 0.500 0.000 0.000
Mg1 0.000 0.000 0.000
O3 0.000 0.500 0.000
# * formation energy from raw total energies: -0.636 eV per atom
# * crystal system: cubic

The V results, record by record, are as follows: 60.3; 142.8; 63.5; 67.7; 176.5; 494.7; 166.6; 72.2; 70.7; 55.7; 53.3; 58.9 Å³/cell.
The total magnetization results, record by record, are as follows: 0.000; 4.248; 0.000; 0.000; 0.000; 0.000; 5.003; 0.000; 5.125; 0.014; 6.339; 3.000 Bohr magnetons per cell.